A geometry-optimized Tb6Si3C structure. Source: Alexandria via LeMat-Bulk, functional GGA-PBE.

The structure belongs to space group R-3 (No. 148, hexagonal axes); the cell edges are 12.1717, 12.1717 and 12.1930 Å and the angles 90.00°, 90.00° and 120.00°. The inequivalent atoms are Tb at (0.0321, 0.1919, 0.3976), Tb at (0.0398, 0.1922, 0.8880), Si at (0.0508, 0.2766, 0.6659), C at (0.0000, 0.0000, 0.0000) and C at (0.0000, 0.0000, 0.5000).

The uncorrected formation energy comes out at -0.419 eV per atom. Its volume is 26.1 Å³ per atom.



A geometry-optimized Tb4Si2C structure. Source: Alexandria via LeMat-Bulk, functional GGA-PBE.

The structure belongs to space group C2/m (No. 12); the cell edges are 11.345, 3.974 and 8.240 Å and the angles 90.00°, 124.07° and 90.00°. The inequivalent atoms are Tb at (0.081, 0.000, 0.346), Tb at (0.165, 0.500, 0.076), Si at (0.117, 0.500, 0.648) and C at (0.000, 0.000, 0.000).

The uncorrected formation energy comes out at -0.533 eV per atom. Its offset from the most stable computed form is 0.00 eV/f.u. Its volume is 22.0 Å³ per atom.



A geometry-optimized Tb12Si3C5 structure. Source: Alexandria via LeMat-Bulk, functional GGA-PBE.

The structure belongs to space group Ia-3d (No. 230); the cell edges are 15.561, 15.561 and 15.561 Å and the angles 90.00°, 90.00° and 90.00°. The inequivalent atoms are Tb at (0.030, 0.056, 0.650), Si at (0.000, 0.250, 0.125), C at (0.000, 0.000, 0.000) and C at (0.000, 0.250, 0.375).

The uncorrected formation energy comes out at -0.299 eV per atom. Its volume is 23.5 Å³ per atom.



A geometry-optimized TbSiC structure. Source: Alexandria via LeMat-Bulk, functional GGA-PBE.

The structure belongs to space group I4/mmm (No. 139); the cell edges are 3.609, 3.609 and 16.828 Å and the angles 90.00°, 90.00° and 90.00°. The inequivalent atoms are Tb at (0.000, 0.000, 0.176), Si at (0.000, 0.000, 0.428) and C at (0.000, 0.000, 0.320).

The uncorrected formation energy comes out at -0.054 eV per atom. Its volume is 18.3 Å³ per atom.



A geometry-optimized TbSiTc2C structure. Source: Alexandria via LeMat-Bulk, functional GGA-PBE.

The structure belongs to space group Cmcm (No. 63); the cell edges are 3.886, 10.987 and 7.319 Å and the angles 90.00°, 90.00° and 90.00°. The inequivalent atoms are Tb at (0.000, 0.043, 0.250), Si at (0.000, 0.234, 0.750), Tc at (0.000, 0.329, 0.059) and C at (0.000, 0.500, 0.000).

The uncorrected formation energy comes out at -0.526 eV per atom. Its volume is 15.6 Å³ per atom.



A geometry-optimized TbSi2Tc2C structure. Source: Alexandria via LeMat-Bulk, functional GGA-PBE.

The structure belongs to space group P4/mmm (No. 123); the cell edges are 4.145, 4.145 and 5.247 Å and the angles 90.00°, 90.00° and 90.00°. The inequivalent atoms are Tb at (0.000, 0.000, 0.000), Si at (0.500, 0.500, 0.222), Tc at (0.000, 0.500, 0.500) and C at (0.000, 0.000, 0.500).

The uncorrected formation energy comes out at -0.499 eV per atom. Its volume is 15.0 Å³ per atom.



A geometry-optimized Tb2Ti2Si2C structure. Source: Alexandria via LeMat-Bulk, functional GGA-PBE.

The structure belongs to space group I4/mmm (No. 139); the cell edges are 4.147, 4.147 and 15.089 Å and the angles 90.00°, 90.00° and 90.00°. The inequivalent atoms are Tb at (0.000, 0.000, 0.167), Ti at (0.000, 0.500, 0.000), Si at (0.000, 0.000, 0.377) and C at (0.000, 0.000, 0.000).

The uncorrected formation energy comes out at -0.775 eV per atom. Its volume is 18.5 Å³ per atom.



A geometry-optimized SiTcC2 structure. Source: Alexandria via LeMat-Bulk, functional GGA-PBE.

The structure belongs to space group I-42d (No. 122); the cell edges are 4.651, 4.651 and 8.514 Å and the angles 90.00°, 90.00° and 90.00°. The inequivalent atoms are Si at (0.000, 0.000, 0.000), Tc at (0.000, 0.000, 0.500) and C at (0.227, 0.250, 0.125).

The uncorrected formation energy comes out at 0.490 eV per atom. Its volume is 11.5 Å³ per atom.